First-principles (GGA-PBE) data for NbGa2Ni after structural relaxation, as listed in the Alexandria database.

abc: 2.9002 2.9002 6.9027
angles: 90.00 90.00 90.00
Space group P4/mmm (No. 123)
One atom of each set of equivalent atoms:
1 Nb 0.0000 0.0000 0.0000 [1 per cell]
2 Ga 0.5000 0.5000 0.2885 [2 per cell]
3 Ni 0.0000 0.0000 0.5000 [1 per cell]

Calculated values
ΔH_f (0 K)   -124 kJ/mol of formula units
Volume   14.5 Å³/atom

First-principles (GGA-PBE) data for NbGaNi3 after structural relaxation, as listed in the Alexandria database.

abc: 4.2254 5.0681 6.3674
angles: 90.00 90.00 90.00
Space group Pmmn (No. 59, origin choice 2)
One atom of each set of equivalent atoms:
1 Nb 0.2500 0.2500 0.1533 [2 per cell]
2 Ga 0.2500 0.7500 0.4434 [2 per cell]
3 Ni 0.2500 0.0168 0.7570 [4 per cell]
4 Ni 0.2500 0.7500 0.0808 [2 per cell]

Calculated values
ΔH_f (0 K)   -112 kJ/mol of formula units
Volume   13.6 Å³/atom
Energy relative to the lowest polymorph listed for this composition   0.000 eV per atom

First-principles (GGA-PBE) data for NbGaNi3 after structural relaxation, as listed in the Alexandria database.

abc: 4.2609 4.2609 4.2609
angles: 90.00 90.00 90.00
Space group Pm-3m (No. 221)
One atom of each set of equivalent atoms:
1 Nb 0.0000 0.0000 0.0000 [1 per cell]
2 Ga 0.5000 0.5000 0.5000 [1 per cell]
3 Ni 0.0000 0.5000 0.5000 [3 per cell]

Calculated values
ΔH_f (0 K)   329 kJ/mol of formula units
Volume   15.5 Å³/atom
Energy relative to the lowest polymorph listed for this composition   0.913 eV per atom

First-principles (GGA-PBE) data for NbGa2Ni2 after structural relaxation, as listed in the Alexandria database.

abc: 3.6499 3.6499 10.7352
angles: 90.00 90.00 90.00
Space group I4/mmm (No. 139)
One atom of each set of equivalent atoms:
1 Nb 0.0000 0.0000 0.0000 [2 per cell]
2 Ga 0.0000 0.0000 0.3884 [4 per cell]
3 Ni 0.0000 0.5000 0.2500 [4 per cell]

Calculated values
ΔH_f (0 K)   -91 kJ/mol of formula units
Volume   14.3 Å³/atom
Energy relative to the lowest polymorph listed for this composition   0.091 eV per atom

First-principles (GGA-PBE) data for Nb2GaNi after structural relaxation, as listed in the Alexandria database.

abc: 3.6928 3.6928 17.6733
angles: 90.00 90.00 120.00
Space group R-3m (No. 166, hexagonal axes)
One atom of each set of equivalent atoms:
1 Nb 0.0000 0.0000 0.2383 [6 per cell]
2 Ga 0.0000 0.0000 0.0000 [3 per cell]
3 Ni 0.0000 0.0000 0.5000 [3 per cell]

Calculated values
ΔH_f (0 K)   89 kJ/mol of formula units
Volume   17.4 Å³/atom

First-principles (GGA-PBE) data for Nb2GaNi4 after structural relaxation, as listed in the Alexandria database.

abc: 4.2159 4.2159 12.6759
angles: 90.00 90.00 90.00
Space group I4/mmm (No. 139)
One atom of each set of equivalent atoms:
1 Nb 0.0000 0.0000 0.1348 [4 per cell]
2 Ga 0.0000 0.0000 0.5000 [2 per cell]
3 Ni 0.0000 0.0000 0.3172 [4 per cell]
4 Ni 0.0000 0.5000 0.0000 [4 per cell]

Calculated values
ΔH_f (0 K)   458 kJ/mol of formula units
Volume   16.1 Å³/atom
Energy relative to the lowest polymorph listed for this composition   0.717 eV per atom

First-principles (GGA-PBE) data for NbGa2Ni after structural relaxation, as listed in the Alexandria database.

abc: 3.9324 3.9324 3.8068
angles: 90.00 90.00 90.00
Space group P4/mmm (No. 123)
One atom of each set of equivalent atoms:
1 Nb 0.0000 0.0000 0.0000 [1 per cell]
2 Ga 0.0000 0.5000 0.5000 [2 per cell]
3 Ni 0.5000 0.5000 0.0000 [1 per cell]

Calculated values
ΔH_f (0 K)   -126 kJ/mol of formula units
Volume   14.7 Å³/atom

First-principles (GGA-PBE) data for Nb2GaNi9 after structural relaxation, as listed in the Alexandria database.

abc: 3.6616 3.6616 10.8863
angles: 90.00 90.00 90.00
Space group P4/mmm (No. 123)
One atom of each set of equivalent atoms:
1 Nb 0.0000 0.0000 0.1735 [2 per cell]
2 Ga 0.0000 0.0000 0.5000 [1 per cell]
3 Ni 0.0000 0.5000 0.0000 [2 per cell]
4 Ni 0.0000 0.5000 0.3366 [4 per cell]
5 Ni 0.5000 0.5000 0.1670 [2 per cell]
6 Ni 0.5000 0.5000 0.5000 [1 per cell]

Calculated values
ΔH_f (0 K)   -318 kJ/mol of formula units
Volume   12.2 Å³/atom